Here is Dy2TmZn2Ga2 after structural relaxation from Alexandria. Energies are from PBE.

As for the total energy: -3.57 eV per atom. The value obtained for the energy relative to the elements is -391 meV/atom. The spin magnetization comes out at 0.00 μB/f.u. For the density of states at the Fermi level, the calculation gives 0.44 states/eV/atom.

```
data_Dy2TmZn2Ga2
_cell_length_a 4.4216
_cell_length_b 4.4216
_cell_length_c 27.2689
_cell_angle_alpha 90.00
_cell_angle_beta 90.00
_cell_angle_gamma 120.00
_space_group_name_H-M_alt 'R -3 m'
_space_group_IT_number 166
_space_group_name_Hall '-R 3 2"'
loop_
_atom_site_label
_atom_site_type_symbol
_atom_site_fract_x
_atom_site_fract_y
_atom_site_fract_z
Dy1 Dy 0.0000 0.0000 0.1258
Tm1 Tm 0.0000 0.0000 0.0000
Zn1 Zn 0.0000 0.0000 0.3949
Ga1 Ga 0.0000 0.0000 0.2652
```